Crystalline CrInAg2 at its relaxed geometry. Source: Alexandria, functional PBE.

* theoretical density: 8564 kg/m³
* calculated formation energy: 218 meV per atom
* E_tot: -4.298 eV/atom

Cell lengths 4.1971, 4.1971, 4.2105 Å; angles 90.00, 90.00, 90.00 degrees
Space group P4/mmm (No. 123)
Unique sites:
Cr 0.0000 0.0000 0.0000
In 0.5000 0.5000 0.0000
Ag 0.0000 0.5000 0.5000


Crystalline CrInAg2 at its relaxed geometry. Source: Alexandria, functional PBE.

* theoretical density: 8597 kg/m³
* calculated formation energy: 206 meV per atom
* E_tot: -4.310 eV/atom

Cell lengths 4.2707, 4.2707, 8.1023 Å; angles 90.00, 90.00, 90.00 degrees
Space group I-4m2 (No. 119)
Unique sites:
Cr 0.0000 0.0000 0.0000
In 0.0000 0.5000 0.7500
Ag 0.0000 0.0000 0.5000
Ag 0.0000 0.5000 0.2500


Crystalline CrIn2Ag at its relaxed geometry. Source: Alexandria, functional PBE.

* theoretical density: 7996 kg/m³
* calculated formation energy: 244 meV per atom
* relative energy among the computed polymorphs: 0.0255 eV per atom
* E_tot: -4.244 eV/atom

Cell lengths 10.3696, 3.3873, 4.8019 Å; angles 90.00, 106.45, 90.00 degrees
Space group Cm (No. 8)
Unique sites:
Cr 0.0000 0.0000 0.0000
In 0.2577 0.0000 0.8280
In 0.4892 0.0000 0.4935
Ag 0.2339 0.5000 0.3028


Crystalline Cr4InAg at its relaxed geometry. Source: Alexandria, functional PBE.

* theoretical density: 8369 kg/m³
* calculated formation energy: 487 meV per atom
* E_tot: -6.860 eV/atom

Cell lengths 6.9920, 6.9920, 6.9920 Å; angles 90.00, 90.00, 90.00 degrees
Space group F-43m (No. 216)
Unique sites:
Cr 0.1222 0.1222 0.1222
In 0.0000 0.0000 0.5000
Ag 0.2500 0.2500 0.7500


Crystalline CrIn2Ag at its relaxed geometry. Source: Alexandria, functional PBE.

* theoretical density: 7899 kg/m³
* calculated formation energy: 314 meV per atom
* relative energy among the computed polymorphs: 0.0957 eV per atom
* E_tot: -4.174 eV/atom

Cell lengths 6.8930, 6.8930, 6.8930 Å; angles 90.00, 90.00, 90.00 degrees
Space group F-43m (No. 216)
Unique sites:
Cr 0.0000 0.0000 0.0000
In 0.0000 0.0000 0.5000
In 0.2500 0.2500 0.2500
Ag 0.2500 0.2500 0.7500


Crystalline CrIn2Ag at its relaxed geometry. Source: Alexandria, functional PBE.

* theoretical density: 7802 kg/m³
* calculated formation energy: 254 meV per atom
* relative energy among the computed polymorphs: 0.0354 eV per atom
* E_tot: -4.234 eV/atom

Cell lengths 3.6575, 3.6575, 6.1968 Å; angles 90.00, 90.00, 90.00 degrees
Space group P4mm (No. 99)
Unique sites:
Cr 0.0000 0.0000 0.0000
In 0.0000 0.0000 0.5239
In 0.5000 0.5000 0.2253
Ag 0.5000 0.5000 0.7617


Crystalline CrInAg at its relaxed geometry. Source: Alexandria, functional PBE.

* theoretical density: 6828 kg/m³
* calculated formation energy: 499 meV per atom
* relative energy among the computed polymorphs: 0.1949 eV per atom
* E_tot: -4.572 eV/atom

Cell lengths 6.4410, 6.4410, 6.4410 Å; angles 90.00, 90.00, 90.00 degrees
Space group F-43m (No. 216)
Unique sites:
Cr 0.0000 0.0000 0.0000
In 0.0000 0.0000 0.5000
Ag 0.2500 0.2500 0.2500


Crystalline CrIn2Ag at its relaxed geometry. Source: Alexandria, functional PBE.

* theoretical density: 8146 kg/m³
* calculated formation energy: 222 meV per atom
* relative energy among the computed polymorphs: 0.0036 eV per atom
* E_tot: -4.266 eV/atom

Cell lengths 6.8228, 6.8228, 6.8228 Å; angles 90.00, 90.00, 90.00 degrees
Space group Fm-3m (No. 225)
Unique sites:
Cr 0.0000 0.0000 0.0000
In 0.2500 0.2500 0.2500
Ag 0.0000 0.0000 0.5000


Q: Which of these has the lowest calculated formation energy?
A: number 2